# 1
# TaTlH2

Crystalline TaTlH2 at its relaxed geometry (GGA-PBE, Alexandria).

Geometry as CIF:
```
data_TaTlH2
_space_group_name_H-M_alt 'F m -3 m'
_space_group_IT_number 225
_space_group_name_Hall '-F 4 2 3'
_cell_length_a 5.8076
_cell_length_b 5.8076
_cell_length_c 5.8076
_cell_angle_alpha 90.00
_cell_angle_beta 90.00
_cell_angle_gamma 90.00
loop_
_atom_site_label
_atom_site_fract_x
_atom_site_fract_y
_atom_site_fract_z
Ta1 0.0000 0.0000 0.0000
Tl1 0.0000 0.0000 0.5000
H1 0.2500 0.2500 0.2500
```

Summary:
ρ ... 13.135 g/cm³
Total moment ... 0.0 μB per formula unit
Energy above the lowest structure with this stoichiometry ... 81.3 kJ/mol of atoms
VASP energy ... -65.639 eV for the cell shown


# 2
# Ta2TlH

Crystalline Ta2TlH at its relaxed geometry (GGA-PBE, Alexandria).

Geometry as CIF:
```
data_Ta2TlH
_space_group_name_H-M_alt 'I 41/a m d'
_space_group_IT_number 141
_cell_length_a 5.5181
_cell_length_b 5.5181
_cell_length_c 9.2189
_cell_angle_alpha 90.00
_cell_angle_beta 90.00
_cell_angle_gamma 90.00
loop_
_space_group_symop_operation_xyz
'x,y,z'
'-x,-y,-z'
'-y+1/4,x+3/4,z+1/4'
'y+1/4,-x+3/4,-z+1/4'
'-x+1/2,-y,z+1/2'
'x+1/2,y,-z+1/2'
'y+1/4,-x+1/4,z+3/4'
'-y+1/4,x+1/4,-z+3/4'
'x,-y,-z'
'-x,y,z'
'-y+1/4,-x+1/4,-z+3/4'
'y+1/4,x+1/4,z+3/4'
'-x+1/2,y,-z+1/2'
'x+1/2,-y,z+1/2'
'y+1/4,x+3/4,-z+1/4'
'-y+1/4,-x+3/4,z+1/4'
'x+1/2,y+1/2,z+1/2'
'-x+1/2,-y+1/2,-z+1/2'
'-y+3/4,x+1/4,z+3/4'
'y+3/4,-x+1/4,-z+3/4'
'-x,-y+1/2,z'
'x,y+1/2,-z'
'y+3/4,-x+3/4,z+1/4'
'-y+3/4,x+3/4,-z+1/4'
'x+1/2,-y+1/2,-z+1/2'
'-x+1/2,y+1/2,z+1/2'
'-y+3/4,-x+3/4,-z+1/4'
'y+3/4,x+3/4,z+1/4'
'-x,y+1/2,-z'
'x,-y+1/2,z'
'y+3/4,x+1/4,-z+3/4'
'-y+3/4,-x+1/4,z+3/4'
loop_
_atom_site_label
_atom_site_fract_x
_atom_site_fract_y
_atom_site_fract_z
Ta1 0.0000 0.0000 0.0000
Tl1 0.0000 0.2500 0.3750
H1 0.0000 0.2500 0.8750
```

Summary:
ρ ... 13.423 g/cm³
Total moment ... 0.0 μB per formula unit
Energy above the lowest structure with this stoichiometry ... 0.0 kJ/mol of atoms
VASP energy ... -108.872 eV for the cell shown


# 3
# Zr2TaTlH

Crystalline Zr2TaTlH at its relaxed geometry (GGA-PBE, Alexandria).

Geometry as CIF:
```
data_Zr2TaTlH
_space_group_name_H-M_alt 'P 4/m m m'
_space_group_IT_number 123
_space_group_name_Hall '-P 4 2'
_cell_length_a 4.6379
_cell_length_b 4.6379
_cell_length_c 4.0261
_cell_angle_alpha 90.00
_cell_angle_beta 90.00
_cell_angle_gamma 90.00
loop_
_atom_site_label
_atom_site_fract_x
_atom_site_fract_y
_atom_site_fract_z
Zr1 0.0000 0.5000 0.0000
Ta1 0.0000 0.0000 0.5000
Tl1 0.5000 0.5000 0.5000
H1 0.0000 0.0000 0.0000
```

Summary:
ρ ... 10.906 g/cm³
Total moment ... 0.0 μB per formula unit
VASP energy ... -35.124 eV for the cell shown


# 4
# U2TaH8

Crystalline U2TaH8 at its relaxed geometry (GGA-PBE, Alexandria).

Geometry as CIF:
```
data_U2TaH8
_space_group_name_H-M_alt 'I m m m'
_space_group_IT_number 71
_space_group_name_Hall '-I 2 2'
_cell_length_a 3.6732
_cell_length_b 4.4466
_cell_length_c 11.4126
_cell_angle_alpha 90.00
_cell_angle_beta 90.00
_cell_angle_gamma 90.00
loop_
_atom_site_label
_atom_site_fract_x
_atom_site_fract_y
_atom_site_fract_z
U1 0.0000 0.0000 0.1648
Ta1 0.0000 0.0000 0.5000
H1 0.0000 0.2293 0.3588
H2 0.0000 0.2821 0.0000
H3 0.0000 0.5000 0.2208
```

Summary:
ρ ... 11.849 g/cm³
Total moment ... 4.7 μB per formula unit
VASP energy ... -126.936 eV for the cell shown


# 5
# UTa2H

Crystalline UTa2H at its relaxed geometry (GGA-PBE, Alexandria).

Geometry as CIF:
```
data_UTa2H
_space_group_name_H-M_alt 'R -3 m'
_space_group_IT_number 166
_space_group_name_Hall '-R 3 2"'
_cell_length_a 2.9263
_cell_length_b 2.9263
_cell_length_c 25.4439
_cell_angle_alpha 90.00
_cell_angle_beta 90.00
_cell_angle_gamma 120.00
loop_
_atom_site_label
_atom_site_fract_x
_atom_site_fract_y
_atom_site_fract_z
U1 0.0000 0.0000 0.0000
Ta1 0.0000 0.0000 0.1152
H1 0.0000 0.0000 0.5000
```

Summary:
ρ ... 15.865 g/cm³
Total moment ... 2.3 μB per formula unit
VASP energy ... -110.576 eV for the cell shown


# 6
# UTaH

Crystalline UTaH at its relaxed geometry (GGA-PBE, Alexandria).

Geometry as CIF:
```
data_UTaH
_space_group_name_H-M_alt 'R -3 m'
_space_group_IT_number 166
_space_group_name_Hall '-R 3 2"'
_cell_length_a 3.5511
_cell_length_b 3.5511
_cell_length_c 24.2448
_cell_angle_alpha 90.00
_cell_angle_beta 90.00
_cell_angle_gamma 120.00
loop_
_atom_site_label
_atom_site_fract_x
_atom_site_fract_y
_atom_site_fract_z
U1 0.0000 0.0000 0.1377
Ta1 0.0000 0.0000 0.2920
H1 0.0000 0.0000 0.4113
```

Summary:
ρ ... 15.803 g/cm³
Total moment ... 0.0 μB per formula unit
VASP energy ... -154.269 eV for the cell shown


# 7
# U3Ta5H12

Crystalline U3Ta5H12 at its relaxed geometry (GGA-PBE, Alexandria).

Geometry as CIF:
```
data_U3Ta5H12
_space_group_name_H-M_alt 'I a -3 d'
_space_group_IT_number 230
_space_group_name_Hall '-I 4bd 2c 3'
_cell_length_a 11.7837
_cell_length_b 11.7837
_cell_length_c 11.7837
_cell_angle_alpha 90.00
_cell_angle_beta 90.00
_cell_angle_gamma 90.00
loop_
_atom_site_label
_atom_site_fract_x
_atom_site_fract_y
_atom_site_fract_z
U1 0.0000 0.2500 0.1250
Ta1 0.0000 0.0000 0.0000
Ta2 0.0000 0.2500 0.3750
H1 0.0161 0.0666 0.6481
```

Summary:
ρ ... 13.241 g/cm³
Total moment ... 2.7 μB per formula unit
VASP energy ... -1079.850 eV for the cell shown


# 8
# TaV2H8

Crystalline TaV2H8 at its relaxed geometry (GGA-PBE, Alexandria).

Geometry as CIF:
```
data_TaV2H8
_space_group_name_H-M_alt 'P -1'
_space_group_IT_number 2
_space_group_name_Hall '-P 1'
_cell_length_a 3.1222
_cell_length_b 4.3936
_cell_length_c 5.3812
_cell_angle_alpha 113.03
_cell_angle_beta 106.71
_cell_angle_gamma 90.00
loop_
_atom_site_label
_atom_site_fract_x
_atom_site_fract_y
_atom_site_fract_z
Ta1 0.0000 0.0000 0.0000
V1 0.3345 0.3046 0.6682
H1 0.1656 0.8920 0.3325
H2 0.1710 0.4367 0.3440
H3 0.3632 0.9249 0.7239
H4 0.4882 0.6914 0.9752
```

Summary:
ρ ... 7.485 g/cm³
Total moment ... 0.0 μB per formula unit
Energy above the lowest structure with this stoichiometry ... 0.0 kJ/mol of atoms
VASP energy ... -56.908 eV for the cell shown


# 9
# TaV3H8

Crystalline TaV3H8 at its relaxed geometry (GGA-PBE, Alexandria).

Geometry as CIF:
```
data_TaV3H8
_space_group_name_H-M_alt 'I 4/m m m'
_space_group_IT_number 139
_space_group_name_Hall '-I 4 2'
_cell_length_a 4.2891
_cell_length_b 4.2891
_cell_length_c 8.5829
_cell_angle_alpha 90.00
_cell_angle_beta 90.00
_cell_angle_gamma 90.00
loop_
_atom_site_label
_atom_site_fract_x
_atom_site_fract_y
_atom_site_fract_z
Ta1 0.0000 0.0000 0.0000
V1 0.0000 0.0000 0.5000
V2 0.0000 0.5000 0.2500
H1 0.2412 0.2412 0.3698
```

Summary:
ρ ... 7.190 g/cm³
Total moment ... 0.0 μB per formula unit
VASP energy ... -137.089 eV for the cell shown


# 10
# TaV6H8

Crystalline TaV6H8 at its relaxed geometry (GGA-PBE, Alexandria).

Geometry as CIF:
```
data_TaV6H8
_space_group_name_H-M_alt 'R -3'
_space_group_IT_number 148
_space_group_name_Hall '-R 3'
_cell_length_a 7.8544
_cell_length_b 7.8544
_cell_length_c 6.5388
_cell_angle_alpha 90.00
_cell_angle_beta 90.00
_cell_angle_gamma 120.00
loop_
_atom_site_label
_atom_site_fract_x
_atom_site_fract_y
_atom_site_fract_z
Ta1 0.0000 0.0000 0.0000
V1 0.0461 0.2440 0.6563
H1 0.0000 0.0000 0.2962
H2 0.0529 0.2554 0.1589
```

Summary:
ρ ... 7.054 g/cm³
Total moment ... 0.0 μB per formula unit
VASP energy ... -285.263 eV for the cell shown